{"formula": "TbPt2", "functional": "SCAN", "state": "PBEsol geometry", "lattice_angstrom": [[-3.872, -3.715, 0.014], [1.269, -5.198, 0.412], [-1.124, -2.688, 4.507]], "species": ["Pt", "Pt", "Pt", "Pt", "Tb", "Tb"], "frac_coords": [[0.625, 0.125, 0.125], [0.125, 0.625, 0.125], [0.125, 0.125, 0.125], [0.125, 0.125, 0.625], [0.500, 0.500, 0.500], [0.750, 0.750, 0.750]], "magmom_total_mub_per_cell": 0.00, "spacegroup": "Fd-3m (227)", "formation_energy_ev_per_atom": -1.307, "volume_a3_per_atom": 18.21}



{"formula": "Ba2H2I", "functional": "SCAN", "state": "PBEsol geometry", "lattice_angstrom": [[-1.423, 0.192, 4.025], [-4.028, -0.163, -1.416], [2.879, -7.249, -0.905]], "species": ["H", "H", "Ba", "Ba", "I"], "frac_coords": [[0.250, 0.750, 0.500], [0.750, 0.250, 0.500], [0.349, 0.349, 0.698], [0.651, 0.651, 0.302], [0.000, 0.000, 0.000]], "magmom_total_mub_per_cell": 0.01, "spacegroup": "I4/mmm (139)", "volume_a3_per_atom": 26.47, "e_tot_ev_per_atom": -25.51}



{"formula": "AgOs3F", "functional": "SCAN", "state": "PBEsol geometry", "lattice_angstrom": [[4.807, 0.000, 0.000], [0.000, 4.807, 0.000], [0.000, 0.000, 4.807]], "species": ["F", "Os", "Os", "Os", "Ag"], "frac_coords": [[0.500, 0.500, 0.500], [0.000, 0.500, 0.000], [0.000, 0.000, 0.500], [0.500, 0.000, 0.000], [0.000, 0.000, 0.000]], "magmom_total_mub_per_cell": 8.32, "raw_formation_energy_kj_per_mol_atoms": 315.66, "spacegroup": "Pm-3m (221)", "volume_a3_per_atom": 22.22}